Entry 1:
Below is a relaxed structure of Ac3Pr2Se8, with properties calculated at the PBE level.

abc: 5.106 10.745 9.167
angles: 125.90 90.00 90.00
Positions (direct):
Ac1 0.500 0.000 0.000
Ac2 0.000 0.285 0.000
Ac3 0.000 0.715 0.000
Pr1 0.500 0.266 0.532
Pr2 0.500 0.734 0.468
Se1 0.000 0.633 0.266
Se2 0.000 0.367 0.734
Se3 0.000 0.122 0.245
Se4 0.000 0.878 0.755
Se5 0.500 0.633 0.742
Se6 0.500 0.109 0.742
Se7 0.500 0.891 0.258
Se8 0.500 0.367 0.258



Entry 2:
Below is a relaxed structure of Ac3PrSe4, with properties calculated at the PBE level.

abc: 6.255 6.255 6.255
angles: 90.00 90.00 90.00
Positions (direct):
Ac1 0.000 0.500 0.500
Ac2 0.500 0.000 0.500
Ac3 0.500 0.500 0.000
Pr1 0.000 0.000 0.000
Se1 0.500 0.000 0.000
Se2 0.000 0.500 0.000
Se3 0.000 0.000 0.500
Se4 0.500 0.500 0.500

Energy above the most stable polymorph in this dataset in eV per atom: 0.018



Entry 3:
Below is a relaxed structure of Ac5PrSe8, with properties calculated at the PBE level.

abc: 8.092 8.092 8.092
angles: 108.93 110.57 108.93
Positions (direct):
Ac1 0.013 0.389 0.124
Ac2 0.876 0.889 0.264
Ac3 0.736 0.611 0.624
Ac4 0.500 0.000 0.500
Ac5 0.376 0.111 0.987
Pr1 0.250 0.500 0.750
Se1 0.130 0.753 0.024
Se2 0.976 0.105 0.729
Se3 0.782 0.256 0.379
Se4 0.621 0.403 0.878
Se5 0.475 0.597 0.218
Se6 0.624 0.895 0.870
Se7 0.271 0.247 0.376
Se8 0.122 0.744 0.525



Entry 4:
Below is a relaxed structure of AcPr2Se4, with properties calculated at the PBE level.

abc: 4.253 7.371 14.372
angles: 90.00 90.00 106.77
Positions (direct):
Ac1 0.622 0.244 0.750
Ac2 0.378 0.756 0.250
Pr1 0.129 0.259 0.434
Pr2 0.871 0.741 0.934
Pr3 0.129 0.259 0.066
Pr4 0.871 0.741 0.566
Se1 0.774 0.547 0.122
Se2 0.774 0.547 0.378
Se3 0.226 0.453 0.878
Se4 0.226 0.453 0.622
Se5 0.962 0.925 0.750
Se6 0.038 0.075 0.250
Se7 0.500 0.000 0.000
Se8 0.500 0.000 0.500



Entry 5:
Below is a relaxed structure of AcPrSe2, with properties calculated at the PBE level.

abc: 6.183 6.183 7.570
angles: 114.10 114.10 90.00
Positions (direct):
Ac1 0.750 0.250 0.500
Ac2 0.000 0.000 0.000
Pr1 0.500 0.500 0.000
Pr2 0.250 0.750 0.500
Se1 0.746 0.746 0.493
Se2 0.496 0.996 0.993
Se3 0.254 0.254 0.507
Se4 0.004 0.504 0.007

Energy above the most stable polymorph in this dataset in eV per atom: 0.000



Entry 6:
Below is a relaxed structure of AcPr4Se5, with properties calculated at the PBE level.

abc: 4.308 4.308 15.570
angles: 97.95 97.95 90.00
Positions (direct):
Ac1 0.000 0.000 0.000
Pr1 0.397 0.397 0.794
Pr2 0.801 0.801 0.602
Pr3 0.199 0.199 0.398
Pr4 0.603 0.603 0.206
Se1 0.101 0.101 0.203
Se2 0.500 0.500 0.000
Se3 0.899 0.899 0.797
Se4 0.298 0.298 0.597
Se5 0.702 0.702 0.403

Energy above the most stable polymorph in this dataset in eV per atom: 0.010



Entry 7:
Below is a relaxed structure of AcPr4Se5, with properties calculated at the PBE level.

abc: 4.305 7.469 9.617
angles: 75.07 77.07 73.25
Positions (direct):
Ac1 0.000 0.000 0.000
Pr1 0.598 0.205 0.599
Pr2 0.200 0.394 0.206
Pr3 0.800 0.606 0.794
Pr4 0.402 0.795 0.401
Se1 0.201 0.904 0.693
Se2 0.799 0.096 0.307
Se3 0.394 0.313 0.898
Se4 0.000 0.500 0.500
Se5 0.606 0.687 0.102

Energy above the most stable polymorph in this dataset in eV per atom: 0.000



Entry 8:
Below is a relaxed structure of Ac3Pr5Se8, with properties calculated at the PBE level.

abc: 8.689 8.689 8.682
angles: 59.97 59.97 60.00
Positions (direct):
Ac1 0.500 0.000 0.500
Ac2 0.000 0.000 0.500
Ac3 0.000 0.500 0.500
Pr1 0.500 0.000 0.000
Pr2 0.500 0.500 0.000
Pr3 0.000 0.000 0.000
Pr4 0.000 0.500 0.000
Pr5 0.500 0.500 0.500
Se1 0.250 0.250 0.758
Se2 0.250 0.742 0.758
Se3 0.742 0.250 0.758
Se4 0.746 0.746 0.762
Se5 0.750 0.750 0.242
Se6 0.750 0.258 0.242
Se7 0.258 0.750 0.242
Se8 0.254 0.254 0.238



Entry 9:
Below is a relaxed structure of Ac5PrSe6, with properties calculated at the PBE level.

abc: 7.672 7.677 7.693
angles: 60.07 80.31 70.29
Positions (direct):
Pr1 0.000 0.000 0.000
Ac1 0.500 0.168 0.663
Ac2 0.000 0.334 0.332
Ac3 0.500 0.500 0.000
Ac4 0.000 0.666 0.668
Ac5 0.500 0.832 0.337
Se1 0.755 0.081 0.328
Se2 0.245 0.591 0.328
Se3 0.248 0.244 0.000
Se4 0.752 0.756 0.000
Se5 0.755 0.409 0.672
Se6 0.245 0.919 0.672



Entry 10:
Below is a relaxed structure of Ac2Pr2Se7, with properties calculated at the PBE level.

abc: 7.557 6.382 7.557
angles: 89.99 94.60 90.01
Positions (direct):
Ac1 0.749 0.500 0.749
Ac2 0.251 0.500 0.251
Pr1 0.731 0.000 0.269
Pr2 0.269 0.000 0.731
Se1 0.000 0.258 0.500
Se2 0.500 0.742 0.000
Se3 0.000 0.742 0.500
Se4 0.500 0.258 0.000
Se5 0.000 0.000 0.000
Se6 0.500 0.755 0.500
Se7 0.500 0.245 0.500



Entry 11:
Below is a relaxed structure of AcPr4Se7, with properties calculated at the PBE level.

abc: 4.178 7.415 12.711
angles: 104.13 90.00 106.37
Positions (direct):
Ac1 0.888 0.775 0.580
Pr1 0.701 0.402 0.817
Pr2 0.299 0.599 0.187
Pr3 0.001 0.002 0.003
Pr4 0.113 0.225 0.415
Se1 0.739 0.477 0.346
Se2 0.252 0.504 0.650
Se3 0.342 0.684 0.951
Se4 0.660 0.320 0.051
Se5 0.046 0.092 0.791
Se6 0.956 0.912 0.215
Se7 0.504 0.008 0.495



Entry 12:
Below is a relaxed structure of AcPr2Se, with properties calculated at the PBE level.

abc: 3.978 3.978 11.198
angles: 79.77 79.77 60.00
Positions (direct):
Pr1 0.112 0.112 0.665
Pr2 0.888 0.888 0.335
Ac1 0.000 0.000 0.000
Se1 0.500 0.500 0.500

Energy above the most stable polymorph in this dataset in eV per atom: 0.180



Energy: -5.543 -5.721 -5.755 -5.862 -5.805 -5.901 -5.911 -5.851 -5.714 -5.408 -5.852 -4.936 (eV per atom)
E_form (uncorrected): -1.71 -1.84 -1.95 -1.92 -1.84 -1.84 -1.85 -1.85 -1.86 -1.57 -1.88 -0.65 (eV/atom)